SCAN HfFe3As, single point on PBEsol structure; total magnetic moment = 5.6 μB/cell; crystal system = cubic; calculated volume = 74 Å³ per cell; total DFT energy (no corrections) = -135.001 eV/f.u.; formation energy from the elements = 2.25 eV/f.u.; space-group type = Pm-3m (221); ρ = 9.5 g cm⁻³
1.0
-2.8353 1.5285 -2.6800
1.2565 -2.7521 -2.8991
-2.8177 -2.7654 1.4039
Fe As Hf
3 1 1
Cartesian
-1.4177 0.7643 -1.3400
0.6283 -1.3761 -1.4496
-1.4089 -1.3827 0.7019
0.0000 0.0000 0.0000
-2.1983 -1.9945 -2.0876

=====

SCAN Zn2CuSb, single point on PBEsol structure; E_form (uncorrected) = 108 meV per atom; total magnetic moment = 0.0 μB/cell; crystal system = monoclinic; calculated volume = 68 Å³ per cell; total DFT energy (no corrections) = -79.059 eV/f.u.; space-group type = Cm (8); ρ = 7.7 g cm⁻³
1.0
3.1359 0.0000 0.0000
-1.5679 4.0424 -0.0200
0.0000 -1.0452 5.3567
Zn Cu Sb
2 1 1
Cartesian
0.0000 0.0156 0.3389
1.5679 1.7908 1.4026
0.0000 3.5250 2.3519
0.0000 1.1856 3.9017

=====

SCAN BaGaB4H3O10, single point on PBEsol structure; total magnetic moment = 0.0 μB/cell; crystal system = triclinic; calculated volume = 407 Å³ per cell; total DFT energy (no corrections) = -202.502 eV/f.u.; space-group type = P-1 (2); ρ = 3.4 g cm⁻³
1.0
-2.8348 -2.1300 -6.1540
-3.3780 -1.4546 6.1114
-1.9096 9.4111 -2.1405
H O B Ga Ba
6 20 8 2 2
Cartesian
-5.6082 6.4319 0.8259
-2.5996 8.7033 -2.3342
-6.5232 6.3338 -3.3013
-5.5229 -2.8768 0.1511
-1.5993 -0.5074 1.1183
-2.5142 -0.6055 -3.0089
-2.9679 6.7921 -4.4702
-5.0587 7.1346 0.3103
-3.7721 1.0636 -0.2241
-2.6572 8.4827 -1.3821
-4.3503 4.7628 -1.9589
-5.4653 -2.6563 -0.8009
-3.5434 4.0703 -4.1422
-4.3996 4.0837 0.2778
-5.1358 5.8711 -3.9559
-4.5791 1.7562 1.9591
-2.9867 -0.0447 1.7729
-5.1545 -0.9656 2.2872
-6.0901 3.2722 -1.2230
-3.0637 -1.3082 -2.4933
-3.6237 1.7064 -5.6204
-2.0324 2.5543 -0.9600
-2.3154 2.1788 1.3968
-5.8071 3.6476 -3.5799
-4.4987 4.1200 3.4374
-3.7229 1.7427 -2.4608
-4.6831 4.5885 -3.3763
-3.8068 -1.0970 2.1702
-4.9542 4.0474 -0.9583
-3.1682 1.7790 -1.2247
-3.4393 1.2379 1.1933
-1.7080 2.8406 0.3779
-6.4145 2.9858 -2.5609
-4.3157 6.9234 -4.3532
-2.7720 2.1628 -4.0080
-5.3505 3.6636 1.8249
-5.5631 -0.2479 -1.9781
-2.5593 6.0743 -0.2050

=====

SCAN CuIrSe4, single point on PBEsol structure; E_form (uncorrected) = 1406 meV per atom; total magnetic moment = 1.1 μB/cell; crystal system = cubic; calculated volume = 110 Å³ per cell; total DFT energy (no corrections) = -158.178 eV/f.u.; space-group type = F-43m (216); ρ = 8.6 g cm⁻³
1.0
5.3803 0.0000 0.0000
2.6902 4.6595 0.0000
2.6902 1.5532 4.3930
Se Cu Ir
4 1 1
Cartesian
4.0313 2.3274 1.6458
6.7294 2.3274 1.6458
5.3803 3.1063 3.8488
5.3803 4.6641 1.6458
8.0705 4.6595 3.2948
0.0000 0.0000 0.0000

=====

SCAN TaCuRh, single point on PBEsol structure; polymorph energy (0 for the lowest one) = 0.64 kcal/mol of atoms; total magnetic moment = 0.0 μB/cell; crystal system = tetragonal; calculated volume = 43 Å³ per cell; total DFT energy (no corrections) = -116.572 eV/f.u.; formation energy from the elements = -1.02 eV/f.u.; space-group type = I4mm (107); ρ = 13.4 g cm⁻³
1.0
3.2542 0.0000 0.0000
0.0000 3.2542 0.0000
-1.6271 -1.6271 4.0680
Rh Cu Ta
1 1 1
Cartesian
0.0000 0.0000 2.6864
1.6271 1.6271 4.0642
1.6271 1.6271 1.3854

=====

SCAN Y3Se2ClO8, single point on PBEsol structure; E_form (uncorrected) = -2641 meV per atom; total magnetic moment = 0.0 μB/cell; crystal system = orthorhombic; calculated volume = 873 Å³ per cell; total DFT energy (no corrections) = -218.490 eV/f.u.; space-group type = Pnma (62); ρ = 4.5 g cm⁻³
1.0
-3.9313 3.2277 2.0295
-2.7595 -7.8717 7.1737
9.4100 5.4353 9.5837
O Y Se Cl
32 12 8 4
Cartesian
-2.0071 -1.4448 10.4006
-0.4509 0.3931 1.1903
5.3253 0.2912 15.9920
-0.0076 -2.9622 9.2979
3.7250 -1.8313 16.2734
6.2105 1.8502 13.7879
1.6089 -3.0536 14.1183
1.0155 2.4749 11.5655
1.6524 2.9598 7.1321
-1.0058 2.6226 2.5136
3.4203 2.6291 5.1329
3.3009 0.4413 6.9417
-1.8411 -4.0212 7.4306
1.1103 3.8448 4.6687
3.1701 0.3982 17.5967
0.3799 1.1771 8.9417
-0.5817 0.3499 11.8453
-3.4913 -1.0589 4.9991
2.3393 -0.3858 9.8453
1.0668 -2.1685 11.6549
3.6767 2.8096 16.1824
4.7263 2.2360 8.3864
4.5603 4.8124 11.3564
6.5598 3.2951 10.2538
-2.6061 0.5001 2.7950
-0.4124 -2.9059 5.0664
-3.8406 -2.5038 8.5332
-0.7011 -1.8379 13.6540
-0.9575 -2.0184 2.6046
1.7037 -1.6837 7.2215
3.1316 3.6972 13.7206
2.7268 3.7534 9.4891
-3.3931 -2.8610 6.4157
1.4350 -4.1567 10.4398
0.0562 -0.8686 9.9287
1.2842 4.9480 8.3472
0.3358 -3.5521 7.1612
4.9132 4.3389 9.1444
2.3834 4.3434 11.6258
-2.1940 -3.5476 9.6426
4.7336 6.9404 11.8602
2.6630 1.6598 8.8583
-2.0144 -6.1491 6.9268
6.1124 3.6522 12.3713
3.6423 -0.1658 16.0173
3.6713 -1.3032 10.4932
1.0045 -1.6894 13.3308
-0.9231 0.9571 2.7697
-3.5899 0.5708 5.6072
1.7147 2.4807 5.4562
6.3091 0.2204 13.1798
-0.9521 2.0944 8.2938
3.3844 6.8493 9.2217
-1.3834 -0.8854 7.3368
-0.6652 -6.0580 9.5653
4.1026 1.6767 11.4501